First-principles (GGA-PBE) data for an optimized crystal structure of TmMn4P2, as listed in Alexandria via LeMat-Bulk.

Output
Energy relative to the elements = -0.709 eV/atom
VASP energy = -113.87 eV/cell

abc: 3.681 6.955 6.955
angles: 90.00 90.00 90.00
Fractional positions:
P1 0.500 0.715 0.715
Mn1 0.500 0.584 0.153
P2 0.000 0.785 0.215
Mn2 0.000 0.347 0.084
Mn3 0.000 0.916 0.653
P3 0.000 0.215 0.785
Mn4 0.000 0.084 0.347
Tm1 0.500 0.000 0.000
Mn5 0.500 0.153 0.584
Mn6 0.500 0.847 0.416
Mn7 0.500 0.416 0.847
P4 0.500 0.285 0.285
Tm2 0.000 0.500 0.500
Mn8 0.000 0.653 0.916